No. 1
# Ho2TmCd3In3

An optimized crystal structure of Ho2TmCd3In3 (PBE, the Open Quantum Materials Database).

space-group type: Amm2, No. 38
raw total energy: -3.11 eV/atom

Cell: 4.6057 7.4589 7.4589 Å, 119.85 90.00 90.00°
Element x y z (fractional)
Cd 0.5000 0.2461 0.0000
Cd 0.5000 0.0000 0.2461
Cd 0.5000 0.7539 0.7539
Ho 0.0000 0.9998 0.5650
Ho 0.0000 0.5650 0.9998
In 0.0000 0.0010 0.0010
In 0.5000 0.6657 0.3337
In 0.5000 0.3337 0.6657
Tm 0.0000 0.4349 0.4349



No. 2
# Ho2TmCd4In2

An optimized crystal structure of Ho2TmCd4In2 (PBE, the Open Quantum Materials Database).

space-group type: Amm2, No. 38
raw total energy: -2.89 eV/atom

Cell: 4.5910 7.4419 7.4419 Å, 119.81 90.00 90.00°
Element x y z (fractional)
Cd 0.5000 0.7571 0.0002
Cd 0.5000 0.2424 0.2424
Cd 0.5000 0.0002 0.7571
Cd 0.0000 0.9984 0.9984
Ho 0.0000 0.4287 0.0005
Ho 0.0000 0.0005 0.4287
In 0.5000 0.6664 0.3344
In 0.5000 0.3344 0.6664
Tm 0.0000 0.5720 0.5720



No. 3
# HoTm2Zn3CdIn2

An optimized crystal structure of HoTm2Zn3CdIn2 (PBE, the Open Quantum Materials Database).

space-group type: Amm2, No. 38
raw total energy: -2.98 eV/atom

Cell: 4.5510 7.1134 7.1134 Å, 120.26 90.00 90.00°
Element x y z (fractional)
Cd 0.0000 0.9974 0.9974
Ho 0.0000 0.4333 0.4333
In 0.5000 0.6682 0.3333
In 0.5000 0.3333 0.6682
Tm 0.0000 0.5672 0.0010
Tm 0.0000 0.0010 0.5672
Zn 0.5000 0.2332 0.0004
Zn 0.5000 0.0004 0.2332
Zn 0.5000 0.7661 0.7661



No. 4
# La2HoCd3Ir2Pt

An optimized crystal structure of La2HoCd3Ir2Pt (PBE, the Open Quantum Materials Database).

ΔE_f: -661 meV per atom
space-group type: Amm2, No. 38
raw total energy: -5.20 eV/atom

Cell: 4.0689 7.6156 7.6156 Å, 120.40 90.00 90.00°
Element x y z (fractional)
Cd 0.5000 0.2542 0.2542
Cd 0.5000 0.9964 0.7482
Cd 0.5000 0.7482 0.9964
Ho 0.0000 0.5918 0.5918
Ir 0.5000 0.6628 0.3370
Ir 0.5000 0.3370 0.6628
La 0.0000 0.4145 0.0020
La 0.0000 0.0020 0.4145
Pt 0.0000 0.9929 0.9929



No. 5
# Ho3Mg3Cd2Ir

An optimized crystal structure of Ho3Mg3Cd2Ir (PBE, the Open Quantum Materials Database).

space-group type: P-62m, No. 189
raw total energy: -3.58 eV/atom

Cell: 7.4664 7.4664 4.4052 Å, 90.00 90.00 120.00°
Element x y z (fractional)
Cd 0.6667 0.3333 0.5000
Cd 0.3333 0.6667 0.5000
Ho 0.3851 0.0000 0.0000
Ho 0.0000 0.3851 0.0000
Ho 0.6149 0.6149 0.0000
Ir 0.0000 0.0000 0.0000
Mg 0.7691 0.0000 0.5000
Mg 0.2309 0.2309 0.5000
Mg 0.0000 0.7691 0.5000



No. 6
# NdHo2Cd3Ir2Pt

An optimized crystal structure of NdHo2Cd3Ir2Pt (PBE, the Open Quantum Materials Database).

ΔE_f: -650 meV per atom
space-group type: Amm2, No. 38
raw total energy: -5.14 eV/atom

Cell: 3.9643 7.5326 7.5326 Å, 120.08 90.00 90.00°
Element x y z (fractional)
Cd 0.5000 0.9995 0.2566
Cd 0.5000 0.7431 0.7431
Cd 0.5000 0.2566 0.9995
Ho 0.0000 0.5917 0.0002
Ho 0.0000 0.0002 0.5917
Ir 0.5000 0.6729 0.3314
Ir 0.5000 0.3314 0.6729
Nd 0.0000 0.4100 0.4100
Pt 0.0000 0.9947 0.9947



Question: The lowest raw total energy belongs to which entry?
Answer: La2HoCd3Ir2Pt